Entry from Alexandria: LiCu4Bi after structural relaxation (GGA-PBE).

- electronic total energy (hartree per atom) = -0.138

a = 7.1499 Å, b = 7.1499 Å, c = 7.1499 Å
α = 90.00°, β = 90.00°, γ = 90.00°
Closest atoms and distances in Å follow each position.
Space group F-43m (No. 216)
Asymmetric unit:
Li 0.0000 0.0000 0.0000 x4  12 Cu 2.96, 4 Bi 3.10
Cu 0.1261 0.1261 0.6261 x16  6 Cu 2.50-2.55
Bi 0.2500 0.2500 0.2500 x4  12 Cu 2.97, 4 Li 3.10

***

Entry from Alexandria: Ti2CoAu after structural relaxation (GGA-PBE).

- energy above the lowest structure with this stoichiometry (meV per atom) = 250

a = 6.9446 Å, b = 6.9446 Å, c = 5.2930 Å
α = 90.00°, β = 90.00°, γ = 90.00°
Closest atoms and distances in Å follow each position.
Space group I-42d (No. 122)
Asymmetric unit:
Ti 0.2087 0.2500 0.1250 x8  2 Co 2.36
Co 0.0000 0.0000 0.0000 x4  4 Ti 2.36
Au 0.0000 0.0000 0.5000 x4  2 Co 2.65, 4 Ti 2.75

***

Entry from Alexandria: KRbTlO2 after structural relaxation (GGA-PBE).

- E_form (uncorrected) (kJ per mole of atoms) = -74.7

a = 7.0362 Å, b = 6.7693 Å, c = 7.2062 Å
α = 90.00°, β = 94.32°, γ = 90.00°
Closest atoms and distances in Å follow each position.
Space group P2/c (No. 13)
Asymmetric unit:
K 0.0000 0.0119 0.2500 x2  4 O 2.72-2.75
Rb 0.5000 0.2979 0.7500 x2  2 O 2.74
Tl 0.0000 0.5000 0.0000 x2  2 O 2.15
O 0.1767 0.2414 0.5198 x4  1 Tl 2.15